# 1
Computed, not measured: a relaxed PmFeRe crystal at the GGA-PBE level of DFT.

Calculated values
ΔE to the lowest computed polymorph in eV per atom: 0.059
Formation energy from the elements in eV per atom: 0.109
Mass density in g/cm3: 10.8
Raw total energy in eV per atom: -8.445

abc: 4.301 4.301 6.404
angles: 90.00 90.00 90.00
Sites, in units of the cell vectors:
1 Fe 0.500 0.000 0.664
2 Fe 0.000 0.500 0.336
3 Pm 0.500 0.000 0.142
4 Pm 0.000 0.500 0.858
5 Re 0.000 0.000 0.500
6 Re 0.500 0.500 0.500



# 2
Computed, not measured: a relaxed KFeRe2 crystal at the GGA-PBE level of DFT.

Calculated values
ΔE to the lowest computed polymorph in eV per atom: 0.644
Formation energy from the elements in eV per atom: 1.447
Mass density in g/cm3: 11.2
Raw total energy in eV per atom: -7.167

abc: 5.745 5.745 2.540
angles: 90.00 90.00 124.47
Site moments in Bohr magnetons follow the coordinates.
Sites, in units of the cell vectors:
1 K 0.000 0.500 0.500  0.00
2 Fe 0.500 0.000 0.500  2.83
3 Re 0.000 0.000 0.000  0.05
4 Re 0.500 0.500 0.000  0.05



# 3
Computed, not measured: a relaxed Zn2ReP crystal at the GGA-PBE level of DFT.

Calculated values
Formation energy from the elements in eV per atom: 0.547
Mass density in g/cm3: 9.3
Raw total energy in eV per atom: -4.555

abc: 7.264 7.264 5.655
angles: 50.03 50.03 90.00
Site moments in Bohr magnetons follow the coordinates.
Sites, in units of the cell vectors:
1 P 0.250 0.750 0.500  0.01
2 P 0.500 0.500 0.000  0.02
3 Zn 0.375 0.404 0.750  0.01
4 Zn 0.596 0.125 0.250  0.00
5 Zn 0.154 0.625 0.250  0.00
6 Zn 0.875 0.846 0.750  0.00
7 Re 0.750 0.250 0.500  0.72
8 Re 0.000 0.000 0.000  0.72



# 4
Computed, not measured: a relaxed Sm3IrI3 crystal at the GGA-PBE level of DFT.

Calculated values
Mass density in g/cm3: 6.9
Formation energy (no corrections) in eV/atom: -1.137
Raw total energy in eV per atom: -5.090

abc: 4.243 9.260 12.523
angles: 92.29 90.00 90.00
Sites, in units of the cell vectors:
1 Sm 0.750 0.112 0.833
2 Sm 0.250 0.895 0.614
3 Sm 0.750 0.105 0.386
4 Sm 0.750 0.700 0.384
5 Sm 0.250 0.300 0.616
6 Sm 0.250 0.888 0.167
7 I 0.750 0.633 0.128
8 I 0.750 0.137 0.113
9 I 0.250 0.398 0.367
10 I 0.750 0.602 0.633
11 I 0.250 0.863 0.887
12 I 0.250 0.367 0.872
13 Ir 0.250 0.899 0.384
14 Ir 0.750 0.101 0.616



# 5
Computed, not measured: a relaxed KCaIn2 crystal at the GGA-PBE level of DFT.

Calculated values
ΔE to the lowest computed polymorph in eV per atom: 0.154
Formation energy from the elements in eV per atom: -0.060
Mass density in g/cm3: 3.3
Raw total energy in eV per atom: -2.204

abc: 5.854 5.854 7.176
angles: 75.17 75.17 40.78
Sites, in units of the cell vectors:
1 In 0.014 0.014 0.909
2 In 0.486 0.486 0.591
3 K 0.250 0.250 0.250
4 Ca 0.750 0.750 0.750



# 6
Computed, not measured: a relaxed CaHgPbC2 crystal at the GGA-PBE level of DFT.

Calculated values
Formation energy from the elements in eV per atom: 2.212
Mass density in g/cm3: 5.4
Raw total energy in eV per atom: -2.679

abc: 4.731 6.480 4.731
angles: 90.00 90.00 90.00
Site moments in Bohr magnetons follow the coordinates.
Sites, in units of the cell vectors:
1 C 0.000 0.000 0.500  0.69
2 C 0.500 0.000 0.000  0.62
3 Ca 0.000 0.000 0.000  0.13
4 Pb 0.000 0.500 0.000  -0.22
5 Hg 0.500 0.500 0.500  0.00